# 1
Here is a relaxed structure of Y2V2Cr from Alexandria. Energies are from GGA-PBE. Values from VASP.

Output
The total energy comes out at -77.483 eV per cell. Its space-group type is No. 127. The energy of formation comes out at 2.05 eV/f.u.

```
&SYSTEM
  ibrav = 0, nat = 10, ntyp = 3
/
ATOMIC_SPECIES
V 50.94 V.upf
Cr 52.00 Cr.upf
Y 88.91 Y.upf
CELL_PARAMETERS angstrom
-2.853 3.633 4.234
-2.574 -5.076 2.621
3.999 -0.441 3.074
ATOMIC_POSITIONS crystal
V 0.855 0.645 0.000
Cr 0.000 0.000 0.000
Y 0.825 0.325 0.500
V 0.145 0.355 0.000
Cr 0.500 0.500 0.000
V 0.355 0.855 0.000
Y 0.325 0.175 0.500
Y 0.175 0.675 0.500
V 0.645 0.145 0.000
Y 0.675 0.825 0.500
```

***

# 2
Here is a relaxed structure of YVCr2 from Alexandria. Energies are from GGA-PBE. Values from VASP.

Output
The total energy comes out at -62.371 eV per cell. The value obtained for the excess energy over the best structure of this formula in the dataset is 446 meV/atom. Its space-group type is No. 141. The energy of formation comes out at 3.64 eV/f.u.

```
&SYSTEM
  ibrav = 0, nat = 8, ntyp = 3
/
ATOMIC_SPECIES
Cr 52.00 Cr.upf
Y 88.91 Y.upf
V 50.94 V.upf
CELL_PARAMETERS angstrom
-1.033 -2.552 -3.496
-0.675 -3.455 2.722
-8.693 -0.873 0.374
ATOMIC_POSITIONS crystal
Cr 0.375 0.125 0.250
Y 0.750 0.250 0.500
V 0.250 0.750 0.500
Cr 0.375 0.625 0.750
Cr 0.875 0.625 0.750
Y 0.000 0.000 0.000
V 0.500 0.500 0.000
Cr 0.375 0.625 0.250
```

***

# 3
Here is a relaxed structure of YV3Cr from Alexandria. Energies are from GGA-PBE. Values from VASP.

Output
The total energy comes out at -40.572 eV per cell. The value obtained for the excess energy over the best structure of this formula in the dataset is 0 meV/atom. Its space-group type is No. 221. The energy of formation comes out at 2.87 eV/f.u.

```
&SYSTEM
  ibrav = 0, nat = 5, ntyp = 3
/
ATOMIC_SPECIES
V 50.94 V.upf
Y 88.91 Y.upf
Cr 52.00 Cr.upf
CELL_PARAMETERS angstrom
-1.405 -4.033 1.297
2.844 0.115 3.438
-3.140 1.909 2.534
ATOMIC_POSITIONS crystal
V 0.000 0.000 0.500
V 0.000 0.500 0.000
Y 0.500 0.500 0.500
V 0.500 0.000 0.000
Cr 0.000 0.000 0.000
```

***

# 4
Here is a relaxed structure of YVCr3 from Alexandria. Energies are from GGA-PBE. Values from VASP.

Output
The total energy comes out at -40.743 eV per cell. The value obtained for the excess energy over the best structure of this formula in the dataset is 0 meV/atom. Its space-group type is No. 221. The energy of formation comes out at 3.71 eV/f.u.

```
&SYSTEM
  ibrav = 0, nat = 5, ntyp = 3
/
ATOMIC_SPECIES
V 50.94 V.upf
Cr 52.00 Cr.upf
Y 88.91 Y.upf
CELL_PARAMETERS angstrom
4.503 0.000 0.000
0.000 4.503 0.000
0.000 0.000 4.503
ATOMIC_POSITIONS crystal
V 0.000 0.000 0.000
Cr 0.500 0.000 0.000
Cr 0.000 0.500 0.000
Y 0.500 0.500 0.500
Cr 0.000 0.000 0.500
```

***

The highest energy of formation belongs to which entry?
YVCr3

***

Please write out number 3 again, unchanged.
Here is a relaxed structure of YV3Cr from Alexandria. Energies are from GGA-PBE. Values from VASP.

Output
The total energy comes out at -40.572 eV per cell. The value obtained for the excess energy over the best structure of this formula in the dataset is 0 meV/atom. Its space-group type is No. 221. The energy of formation comes out at 2.87 eV/f.u.

```
&SYSTEM
  ibrav = 0, nat = 5, ntyp = 3
/
ATOMIC_SPECIES
V 50.94 V.upf
Y 88.91 Y.upf
Cr 52.00 Cr.upf
CELL_PARAMETERS angstrom
-1.405 -4.033 1.297
2.844 0.115 3.438
-3.140 1.909 2.534
ATOMIC_POSITIONS crystal
V 0.000 0.000 0.500
V 0.000 0.500 0.000
Y 0.500 0.500 0.500
V 0.500 0.000 0.000
Cr 0.000 0.000 0.000
```